Compound: Sr2Bi2SbPb2
Source: Alexandria via LeMat-Bulk
Functional: PBE-GGA
Structure: optimized geometry

Structure (extended XYZ):
```
7
Lattice="-2.413 1.178 -4.410 3.946 -0.908 -5.484 -1.924 -6.947 -0.819" Properties=species:S:1:pos:R:3 pbc="T T T"
Sr -1.822 -4.696 -3.301
Sr 1.431 -1.981 -7.412
Bi -1.859 -1.897 -5.565
Bi 1.467 -4.780 -5.148
Sb 0.000 0.000 0.000
Pb -1.305 -5.381 -6.801
Pb 0.914 -1.297 -3.912
```

Results
Volume, Å³/atom: 33.56
Fermi-level density of states, states/eV/f.u.: 3.161

Compound: Cs2RbAg
Source: Alexandria via LeMat-Bulk
Functional: PBE-GGA
Structure: optimized geometry

Structure (extended XYZ):
```
16
Lattice="8.899 0.000 0.000 0.000 11.003 -0.225 0.000 -5.229 11.743" Properties=species:S:1:pos:R:3 pbc="T T T"
Cs 6.668 -0.004 1.933
Cs 2.219 0.276 9.698
Cs 2.231 5.778 9.585
Cs 6.680 5.498 1.820
Cs 6.204 2.974 8.974
Cs 1.754 8.301 2.431
Cs 2.695 2.800 2.544
Cs 7.145 -2.527 9.087
Rb 4.438 -0.459 5.837
Rb 8.888 0.731 5.794
Rb 4.460 6.233 5.681
Rb 0.011 5.043 5.724
Ag 5.699 2.866 5.011
Ag 1.249 -2.593 6.620
Ag 3.200 2.908 6.507
Ag 7.650 8.367 4.898
```

Results
Volume, Å³/atom: 71.21
ΔH_f (0 K), meV/atom: 32
Energy above the lowest structure with this stoichiometry, meV per atom: 0
Fermi-level density of states, states/eV/f.u.: 2.638

What uncorrected energy values result from the calculations? In sequence: -3.67 -1.35 eV per atom.
What total magnetization values result from the calculations? In sequence: 0.00 0.00 Bohr magnetons per cell.